Record 1
Entry from the Alexandria database: a relaxed NaAlCdBi crystal (PBE-GGA).

Cell and atoms, written as extended XYZ:
```
4
Lattice="0.000 3.702 3.702 3.702 0.000 3.702 3.702 3.702 0.000" Properties=species:S:1:pos:R:3 pbc="T T T"
Na 0.000 0.000 0.000
Al 3.702 3.702 3.702
Cd 1.851 1.851 1.851
Bi 5.553 5.553 5.553
```

Results
The value obtained for the formation energy is 59 meV/atom.



Record 2
Entry from the Alexandria database: a relaxed NaAlCd2Bi crystal (PBE-GGA).

Cell and atoms, written as extended XYZ:
```
5
Lattice="5.947 0.000 0.000 0.000 5.947 0.000 0.000 0.000 5.510" Properties=species:S:1:pos:R:3 pbc="T T T"
Na 0.000 0.000 0.000
Al 2.974 2.974 0.000
Cd 0.000 2.974 2.755
Cd 2.974 0.000 2.755
Bi 2.974 2.974 2.755
```

Results
The value obtained for the formation energy is 461 meV/atom.



Record 3
Entry from the Alexandria database: a relaxed AlCd2NiBi crystal (PBE-GGA).

Cell and atoms, written as extended XYZ:
```
5
Lattice="5.036 0.000 0.000 0.000 5.036 0.000 0.000 0.000 4.573" Properties=species:S:1:pos:R:3 pbc="T T T"
Al 0.000 0.000 0.000
Cd 0.000 2.518 2.286
Cd 2.518 0.000 2.286
Ni 0.000 0.000 2.286
Bi 2.518 2.518 0.000
```

Results
The value obtained for the formation energy is 162 meV/atom.



Record 4
Entry from the Alexandria database: a relaxed AlCd2BiPt crystal (PBE-GGA).

Cell and atoms, written as extended XYZ:
```
5
Lattice="5.156 0.000 0.000 0.000 5.156 0.000 0.000 0.000 4.703" Properties=species:S:1:pos:R:3 pbc="T T T"
Al 0.000 0.000 0.000
Cd 0.000 2.578 0.000
Cd 2.578 0.000 0.000
Bi 2.578 2.578 2.351
Pt 0.000 0.000 2.351
```

Results
The value obtained for the formation energy is 304 meV/atom.



Number 1: volume 25.4 A^3/atom. Number 2: volume 39.0 A^3/atom. Number 3: volume 23.2 A^3/atom. Number 4: volume 25.0 A^3/atom.